Entry from the Alexandria database: crystalline ZnSb2 at its relaxed geometry (PBE-GGA).

Summary:
The symmetry is Pa-3, No. 205. The total magnetization is 0.00 μB/f.u. Its crystal system is cubic. The calculation puts the total energy at -0.222 Ry per atom.

abc: 6.745 6.745 6.745
angles: 90.00 90.00 90.00
Fractional coordinates of all 12 atoms:
Zn 0.500 0.500 0.000
Zn 0.000 0.500 0.500
Zn 0.000 0.000 0.000
Zn 0.500 0.000 0.500
Sb 0.625 0.875 0.875
Sb 0.125 0.625 0.125
Sb 0.375 0.125 0.125
Sb 0.875 0.125 0.375
Sb 0.125 0.875 0.625
Sb 0.875 0.375 0.875
Sb 0.375 0.375 0.625
Sb 0.625 0.625 0.375